No. 1
PmTmAl PBE optimized geometry; E_tot = -13.0 eV per cell; crystal system = cubic; formation enthalpy at 0 K = -0.014 eV per atom; distance to the lowest polymorph of the same formula = 0.219 eV per atom
1.0
5.076 0.000 0.000
2.538 4.396 0.000
2.538 1.465 4.145
Pm Tm Al
1 1 1
Direct
0.500 0.500 0.500 Pm
0.000 0.000 0.000 Tm
0.250 0.250 0.250 Al

---

No. 2
BaSc2RePt PBE optimized geometry; E_tot = -22.9 eV per cell; crystal system = tetragonal; formation enthalpy at 0 K = 2.037 eV per atom
1.0
-1.427 -4.758 -1.164
0.906 -1.397 4.598
-4.807 1.126 1.290
Sc Ba Re Pt
2 1 1 1
Direct
0.000 0.000 0.500 Sc
0.500 0.000 0.000 Sc
0.000 0.000 0.000 Ba
0.000 0.500 0.000 Re
0.500 0.500 0.500 Pt

---

No. 3
Al2TeIr PBE optimized geometry; E_tot = -20.1 eV per cell; formation energy without anion corrections = -0.164 eV per atom; crystal system = orthorhombic
1.0
3.005 0.000 0.000
0.000 3.990 0.000
0.000 0.000 7.317
Al Ir Te
2 1 1
Direct
0.000 0.000 0.014 Al
0.500 0.500 0.358 Al
0.000 0.000 0.333 Ir
0.500 0.500 0.795 Te

---

Which value of E_tot does entry 1 give?
-13.0 eV per cell